# 1
Density functional theory data (GGA-PBE) for crystalline CoHg2Os at its relaxed geometry.

Unit cell a=2.845 b=5.006 c=9.915 alpha=90.00 beta=90.00 gamma=90.00
Fractional coordinates of all 8 atoms:
Co 0.000 0.000 0.000
Co 0.500 0.500 0.000
Hg 0.000 0.000 0.538
Hg 0.000 0.500 0.239
Hg 0.500 0.000 0.239
Hg 0.500 0.500 0.538
Os 0.000 0.500 0.802
Os 0.500 0.000 0.802

Properties
N(E_F) = 4.42 states/eV/f.u.
crystal system = orthorhombic
space-group type = Cmm2
excess energy over the best structure of this formula in the dataset = 19.9 kJ per mole of atoms
ΔE_f = 0.6619 eV/atom



# 2
Density functional theory data (GGA-PBE) for crystalline CdHgC3 at its relaxed geometry.

Unit cell a=4.377 b=4.377 c=4.377 alpha=90.00 beta=90.00 gamma=90.00
Fractional coordinates of all 5 atoms:
Cd 0.000 0.000 0.000
Hg 0.500 0.500 0.500
C 0.000 0.000 0.500
C 0.000 0.500 0.000
C 0.500 0.000 0.000

Properties
N(E_F) = 3.82 states/eV/f.u.
crystal system = cubic
space-group type = Pm-3m
excess energy over the best structure of this formula in the dataset = 0.0 kJ per mole of atoms
ΔE_f = 3.2857 eV/atom



# 3
Density functional theory data (GGA-PBE) for crystalline KAs3 at its relaxed geometry.

Unit cell a=10.045 b=3.639 c=6.103 alpha=90.00 beta=107.60 gamma=90.00
Fractional coordinates of all 8 atoms:
K 0.000 0.000 0.000
K 0.500 0.500 0.000
As 0.000 0.500 0.500
As 0.216 0.000 0.624
As 0.284 0.500 0.376
As 0.500 0.000 0.500
As 0.716 0.500 0.624
As 0.784 0.000 0.376

Properties
N(E_F) = 1.12 states/eV/f.u.
crystal system = monoclinic
space-group type = C2/m
excess energy over the best structure of this formula in the dataset = 0.0 kJ per mole of atoms
ΔE_f = -0.1236 eV/atom



# 4
Density functional theory data (GGA-PBE) for crystalline Ag2Te2Cl at its relaxed geometry.

Unit cell a=8.628 b=8.628 c=3.270 alpha=90.00 beta=90.00 gamma=90.00
Fractional coordinates of all 10 atoms:
Ag 0.142 0.358 0.000
Ag 0.358 0.858 0.000
Ag 0.642 0.142 0.000
Ag 0.858 0.642 0.000
Te 0.157 0.657 0.500
Te 0.343 0.157 0.500
Te 0.657 0.843 0.500
Te 0.843 0.343 0.500
Cl 0.000 0.000 0.500
Cl 0.500 0.500 0.500

Properties
N(E_F) = 2.24 states/eV/f.u.
crystal system = tetragonal
space-group type = P4/mbm
excess energy over the best structure of this formula in the dataset = 21.5 kJ per mole of atoms
energy relative to the elements, uncorrected = 0.057 eV/atom